No. 1
Below is a relaxed structure of Pm11Cd9Au4, with properties calculated at the PBE level.

abc: 15.0860 22.6511 3.7730
angles: 90.00 90.00 90.00
Space group Cmmm (No. 65)
Inequivalent atoms, fractional coordinates:
Pm  0.0000  0.0000  0.0000 (multiplicity 2)
Pm  0.0000  0.1632  0.0000 (multiplicity 4)
Pm  0.0000  0.3669  0.0000 (multiplicity 4)
Pm  0.2029  0.5000  0.0000 (multiplicity 4)
Pm  0.2410  0.1724  0.0000 (multiplicity 8)
Cd  0.0000  0.5000  0.5000 (multiplicity 2)
Cd  0.1038  0.2611  0.5000 (multiplicity 8)
Cd  0.1401  0.0723  0.5000 (multiplicity 8)
Au  0.1503  0.4006  0.5000 (multiplicity 8)

Values from the calculation:
Fermi-level density of states   43.9 states/eV per cell



No. 2
Below is a relaxed structure of PmCd7Au4, with properties calculated at the PBE level.

abc: 11.9925 5.5087 10.2107
angles: 90.00 124.78 90.00
Space group C2/m (No. 12)
Inequivalent atoms, fractional coordinates:
Pm  0.0000  0.0000  0.0000 (multiplicity 2)
Cd  0.0000  0.5000  0.0000 (multiplicity 2)
Cd  0.0603  0.0000  0.3718 (multiplicity 4)
Cd  0.1615  0.5000  0.5795 (multiplicity 4)
Cd  0.2129  0.0000  0.8850 (multiplicity 4)
Au  0.0814  0.5000  0.7841 (multiplicity 4)
Au  0.2033  0.5000  0.3265 (multiplicity 4)

Values from the calculation:
Fermi-level density of states   11.2 states/eV per cell



No. 3
Below is a relaxed structure of Pm3Cd2Au, with properties calculated at the PBE level.

abc: 3.7698 3.7698 11.4185
angles: 90.00 90.00 90.00
Space group P4/mmm (No. 123)
Inequivalent atoms, fractional coordinates:
Pm  0.0000  0.0000  0.0000 (multiplicity 1)
Pm  0.0000  0.0000  0.3448 (multiplicity 2)
Cd  0.5000  0.5000  0.1670 (multiplicity 2)
Au  0.5000  0.5000  0.5000 (multiplicity 1)

Values from the calculation:
Offset from the most stable computed form   0.0 meV/atom
Fermi-level density of states   5.9 states/eV per cell



The records above give, respectively, formation energy from the elements values of -498.3 -58.3 -475.1 meV/atom.